DFT (GGA-PBE) results for crystalline BeRh2W at its relaxed geometry.

a b c (Å): 2.803 2.803 6.575
angles (deg): 90.00 90.00 90.00
Fractional coordinates of all 4 atoms:
Be1 0.500 0.500 0.750
Rh1 0.000 0.000 0.964
Rh2 0.000 0.000 0.536
W1 0.500 0.500 0.250

Values from the calculation:
Formation energy: -0.43 eV per atom
Total magnetization: 0.00 μB/atom
D(E_F): 2.21 states/eV per cell